Run w
## PrAlW (GGA-PBE)

Data for a relaxed PrAlW crystal.

- total magnetic moment (μB per atom) = 0.73
- crystal system = cubic

The structure in CIF format:
```
data_PrAlW
_cell_length_a 6.820
_cell_length_b 6.820
_cell_length_c 6.820
_cell_angle_alpha 90.00
_cell_angle_beta 90.00
_cell_angle_gamma 90.00
_symmetry_space_group_name_H-M 'F -4 3 m'
_symmetry_Int_Tables_number 216
_symmetry_space_group_name_Hall 'F -4 2 3'
loop_
_atom_site_label
_atom_site_type_symbol
_atom_site_fract_x
_atom_site_fract_y
_atom_site_fract_z
_atom_site_occupancy
Pr1 Pr 0.000 0.000 0.000 1
Al1 Al 0.250 0.250 0.750 1
W1 W 0.250 0.250 0.250 1
```

Run x
## PrAlW (GGA-PBE)

Data for a relaxed PrAlW crystal.

- total magnetic moment (μB per atom) = 0.35
- crystal system = cubic

The structure in CIF format:
```
data_PrAlW
_cell_length_a 6.605
_cell_length_b 6.605
_cell_length_c 6.605
_cell_angle_alpha 90.00
_cell_angle_beta 90.00
_cell_angle_gamma 90.00
_symmetry_space_group_name_H-M 'F -4 3 m'
_symmetry_Int_Tables_number 216
_symmetry_space_group_name_Hall 'F -4 2 3'
loop_
_atom_site_label
_atom_site_type_symbol
_atom_site_fract_x
_atom_site_fract_y
_atom_site_fract_z
_atom_site_occupancy
Pr1 Pr 0.000 0.000 0.000 1
Al1 Al 0.250 0.250 0.250 1
W1 W 0.000 0.000 0.500 1
```

Most stable one: run x, least stable one: run w.

Run w
## PrZrAl (GGA-PBE)

Data for a relaxed PrZrAl crystal.

- total magnetic moment (μB per atom) = 0.58
- crystal system = cubic

The structure in CIF format:
```
data_PrZrAl
_cell_length_a 7.085
_cell_length_b 7.085
_cell_length_c 7.085
_cell_angle_alpha 90.00
_cell_angle_beta 90.00
_cell_angle_gamma 90.00
_symmetry_space_group_name_H-M 'F -4 3 m'
_symmetry_Int_Tables_number 216
_symmetry_space_group_name_Hall 'F -4 2 3'
loop_
_atom_site_label
_atom_site_type_symbol
_atom_site_fract_x
_atom_site_fract_y
_atom_site_fract_z
_atom_site_occupancy
Pr1 Pr 0.000 0.000 0.000 1
Zr1 Zr 0.250 0.250 0.250 1
Al1 Al 0.250 0.250 0.750 1
```

Run x
## PrZrAl (GGA-PBE)

Data for a relaxed PrZrAl crystal.

- total magnetic moment (μB per atom) = 0.64
- crystal system = cubic

The structure in CIF format:
```
data_PrZrAl
_cell_length_a 7.014
_cell_length_b 7.014
_cell_length_c 7.014
_cell_angle_alpha 90.00
_cell_angle_beta 90.00
_cell_angle_gamma 90.00
_symmetry_space_group_name_H-M 'F -4 3 m'
_symmetry_Int_Tables_number 216
_symmetry_space_group_name_Hall 'F -4 2 3'
loop_
_atom_site_label
_atom_site_type_symbol
_atom_site_fract_x
_atom_site_fract_y
_atom_site_fract_z
_atom_site_occupancy
Pr1 Pr 0.000 0.000 0.000 1
Zr1 Zr 0.250 0.250 0.750 1
Al1 Al 0.000 0.000 0.500 1
```

Most stable one: run x, least stable one: run w.

Run w
## PuAlRe (GGA-PBE)

Data for a relaxed PuAlRe crystal.

- total magnetic moment (μB per atom) = 1.32
- crystal system = cubic

The structure in CIF format:
```
data_PuAlRe
_cell_length_a 6.268
_cell_length_b 6.268
_cell_length_c 6.268
_cell_angle_alpha 90.00
_cell_angle_beta 90.00
_cell_angle_gamma 90.00
_symmetry_space_group_name_H-M 'F -4 3 m'
_symmetry_Int_Tables_number 216
_symmetry_space_group_name_Hall 'F -4 2 3'
loop_
_atom_site_label
_atom_site_type_symbol
_atom_site_fract_x
_atom_site_fract_y
_atom_site_fract_z
_atom_site_occupancy
Pu1 Pu 0.000 0.000 0.000 1
Al1 Al 0.250 0.250 0.750 1
Re1 Re 0.250 0.250 0.250 1
```

Run x
## PuAlRe (GGA-PBE)

Data for a relaxed PuAlRe crystal.

- total magnetic moment (μB per atom) = 1.47
- crystal system = cubic

The structure in CIF format:
```
data_PuAlRe
_cell_length_a 6.148
_cell_length_b 6.148
_cell_length_c 6.148
_cell_angle_alpha 90.00
_cell_angle_beta 90.00
_cell_angle_gamma 90.00
_symmetry_space_group_name_H-M 'F -4 3 m'
_symmetry_Int_Tables_number 216
_symmetry_space_group_name_Hall 'F -4 2 3'
loop_
_atom_site_label
_atom_site_type_symbol
_atom_site_fract_x
_atom_site_fract_y
_atom_site_fract_z
_atom_site_occupancy
Pu1 Pu 0.000 0.000 0.000 1
Al1 Al 0.250 0.250 0.250 1
Re1 Re 0.000 0.000 0.500 1
```

Most stable one: run x, least stable one: run w.

Run w
## PuAlTc (GGA-PBE)

Data for a relaxed PuAlTc crystal.

- total magnetic moment (μB per atom) = 1.48
- crystal system = cubic

The structure in CIF format:
```
data_PuAlTc
_cell_length_a 6.181
_cell_length_b 6.181
_cell_length_c 6.181
_cell_angle_alpha 90.00
_cell_angle_beta 90.00
_cell_angle_gamma 90.00
_symmetry_space_group_name_H-M 'F -4 3 m'
_symmetry_Int_Tables_number 216
_symmetry_space_group_name_Hall 'F -4 2 3'
loop_
_atom_site_label
_atom_site_type_symbol
_atom_site_fract_x
_atom_site_fract_y
_atom_site_fract_z
_atom_site_occupancy
Pu1 Pu 0.000 0.000 0.000 1
Al1 Al 0.250 0.250 0.250 1
Tc1 Tc 0.000 0.000 0.500 1
```

Run x
## PuAlTc (GGA-PBE)

Data for a relaxed PuAlTc crystal.

- total magnetic moment (μB per atom) = 1.40
- crystal system = cubic

The structure in CIF format:
```
data_PuAlTc
_cell_length_a 6.265
_cell_length_b 6.265
_cell_length_c 6.265
_cell_angle_alpha 90.00
_cell_angle_beta 90.00
_cell_angle_gamma 90.00
_symmetry_space_group_name_H-M 'F -4 3 m'
_symmetry_Int_Tables_number 216
_symmetry_space_group_name_Hall 'F -4 2 3'
loop_
_atom_site_label
_atom_site_type_symbol
_atom_site_fract_x
_atom_site_fract_y
_atom_site_fract_z
_atom_site_occupancy
Pu1 Pu 0.000 0.000 0.000 1
Al1 Al 0.250 0.250 0.750 1
Tc1 Tc 0.250 0.250 0.250 1
```

Most stable one: run w, least stable one: run x.

Run w
## PuAlW (GGA-PBE)

Data for a relaxed PuAlW crystal.

- total magnetic moment (μB per atom) = 1.18
- crystal system = cubic

The structure in CIF format:
```
data_PuAlW
_cell_length_a 6.312
_cell_length_b 6.312
_cell_length_c 6.312
_cell_angle_alpha 90.00
_cell_angle_beta 90.00
_cell_angle_gamma 90.00
_symmetry_space_group_name_H-M 'F -4 3 m'
_symmetry_Int_Tables_number 216
_symmetry_space_group_name_Hall 'F -4 2 3'
loop_
_atom_site_label
_atom_site_type_symbol
_atom_site_fract_x
_atom_site_fract_y
_atom_site_fract_z
_atom_site_occupancy
Pu1 Pu 0.000 0.000 0.000 1
Al1 Al 0.250 0.250 0.250 1
W1 W 0.250 0.250 0.750 1
```

Run x
## PuAlW (GGA-PBE)

Data for a relaxed PuAlW crystal.

- total magnetic moment (μB per atom) = 1.41
- crystal system = cubic

The structure in CIF format:
```
data_PuAlW
_cell_length_a 6.224
_cell_length_b 6.224
_cell_length_c 6.224
_cell_angle_alpha 90.00
_cell_angle_beta 90.00
_cell_angle_gamma 90.00
_symmetry_space_group_name_H-M 'F -4 3 m'
_symmetry_Int_Tables_number 216
_symmetry_space_group_name_Hall 'F -4 2 3'
loop_
_atom_site_label
_atom_site_type_symbol
_atom_site_fract_x
_atom_site_fract_y
_atom_site_fract_z
_atom_site_occupancy
Pu1 Pu 0.000 0.000 0.000 1
Al1 Al 0.250 0.250 0.250 1
W1 W 0.000 0.000 0.500 1
```

Most stable one: run x, least stable one: run w.

Run w
## RbTmAlSe3 (GGA-PBE)

Data for a relaxed RbTmAlSe3 crystal.

- total magnetic moment (μB per atom) = 0.07
- crystal system = orthorhombic

The structure in CIF format:
```
data_RbTmAlSe3
_cell_length_a 4.294
_cell_length_b 15.298
_cell_length_c 10.842
_cell_angle_alpha 90.00
_cell_angle_beta 90.00
_cell_angle_gamma 90.00
_symmetry_space_group_name_H-M 'C m c m'
_symmetry_Int_Tables_number 63
_symmetry_space_group_name_Hall '-C 2c 2'
loop_
_atom_site_label
_atom_site_type_symbol
_atom_site_fract_x
_atom_site_fract_y
_atom_site_fract_z
_atom_site_occupancy
Rb1 Rb 0.000 0.242 0.250 1
Tm1 Tm 0.000 0.500 0.000 1
Al1 Al 0.000 0.029 0.750 1
Se1 Se 0.000 0.121 0.566 1
Se2 Se 0.000 0.444 0.750 1
```

Run x
## RbTmAlSe3 (GGA-PBE)

Data for a relaxed RbTmAlSe3 crystal.

- total magnetic moment (μB per atom) = 0.02
- crystal system = orthorhombic

The structure in CIF format:
```
data_RbTmAlSe3
_cell_length_a 11.136
_cell_length_b 4.636
_cell_length_c 12.585
_cell_angle_alpha 90.00
_cell_angle_beta 90.00
_cell_angle_gamma 90.00
_symmetry_space_group_name_H-M 'P n m a'
_symmetry_Int_Tables_number 62
loop_
_symmetry_equiv_pos_as_xyz
'x,y,z'
'-x,-y,-z'
'-x+1/2,-y,z+1/2'
'x+1/2,y,-z+1/2'
'x+1/2,-y+1/2,-z+1/2'
'-x+1/2,y+1/2,z+1/2'
'-x,y+1/2,-z'
'x,-y+1/2,z'
loop_
_atom_site_label
_atom_site_type_symbol
_atom_site_fract_x
_atom_site_fract_y
_atom_site_fract_z
_atom_site_occupancy
Rb1 Rb 0.172 0.250 0.006 1
Tm1 Tm 0.028 0.250 0.328 1
Al1 Al 0.229 0.250 0.723 1
Se1 Se 0.056 0.750 0.183 1
Se2 Se 0.094 0.250 0.564 1
Se3 Se 0.207 0.750 0.798 1
```

Most stable one: run w, least stable one: run x.

Run w
## RbTbAlTe3 (GGA-PBE)

Data for a relaxed RbTbAlTe3 crystal.

- total magnetic moment (μB per atom) = 0.01
- crystal system = orthorhombic

The structure in CIF format:
```
data_RbTbAlTe3
_cell_length_a 4.837
_cell_length_b 15.854
_cell_length_c 11.716
_cell_angle_alpha 90.00
_cell_angle_beta 90.00
_cell_angle_gamma 90.00
_symmetry_space_group_name_H-M 'C m c m'
_symmetry_Int_Tables_number 63
_symmetry_space_group_name_Hall '-C 2c 2'
loop_
_atom_site_label
_atom_site_type_symbol
_atom_site_fract_x
_atom_site_fract_y
_atom_site_fract_z
_atom_site_occupancy
Rb1 Rb 0.000 0.248 0.250 1
Tb1 Tb 0.000 0.500 0.000 1
Al1 Al 0.000 0.020 0.750 1
Te1 Te 0.000 0.122 0.564 1
Te2 Te 0.000 0.437 0.750 1
```

Run x
## RbTbAlTe3 (GGA-PBE)

Data for a relaxed RbTbAlTe3 crystal.

- total magnetic moment (μB per atom) = 0.00
- crystal system = orthorhombic

The structure in CIF format:
```
data_RbTbAlTe3
_cell_length_a 12.136
_cell_length_b 5.037
_cell_length_c 13.395
_cell_angle_alpha 90.00
_cell_angle_beta 90.00
_cell_angle_gamma 90.00
_symmetry_space_group_name_H-M 'P n m a'
_symmetry_Int_Tables_number 62
loop_
_symmetry_equiv_pos_as_xyz
'x,y,z'
'-x,-y,-z'
'-x+1/2,-y,z+1/2'
'x+1/2,y,-z+1/2'
'x+1/2,-y+1/2,-z+1/2'
'-x+1/2,y+1/2,z+1/2'
'-x,y+1/2,-z'
'x,-y+1/2,z'
loop_
_atom_site_label
_atom_site_type_symbol
_atom_site_fract_x
_atom_site_fract_y
_atom_site_fract_z
_atom_site_occupancy
Rb1 Rb 0.182 0.250 0.009 1
Tb1 Tb 0.027 0.250 0.325 1
Al1 Al 0.234 0.250 0.723 1
Te1 Te 0.051 0.750 0.175 1
Te2 Te 0.091 0.250 0.564 1
Te3 Te 0.209 0.750 0.800 1
```

Most stable one: run w, least stable one: run x.

Run w
## RbTmAlTe3 (GGA-PBE)

Data for a relaxed RbTmAlTe3 crystal.

- total magnetic moment (μB per atom) = 0.00
- crystal system = orthorhombic

The structure in CIF format:
```
data_RbTmAlTe3
_cell_length_a 4.822
_cell_length_b 15.851
_cell_length_c 11.508
_cell_angle_alpha 90.00
_cell_angle_beta 90.00
_cell_angle_gamma 90.00
_symmetry_space_group_name_H-M 'C m c m'
_symmetry_Int_Tables_number 63
_symmetry_space_group_name_Hall '-C 2c 2'
loop_
_atom_site_label
_atom_site_type_symbol
_atom_site_fract_x
_atom_site_fract_y
_atom_site_fract_z
_atom_site_occupancy
Rb1 Rb 0.000 0.249 0.250 1
Tm1 Tm 0.000 0.500 0.000 1
Al1 Al 0.000 0.017 0.750 1
Te1 Te 0.000 0.120 0.561 1
Te2 Te 0.000 0.436 0.750 1
```

Run x
## RbTmAlTe3 (GGA-PBE)

Data for a relaxed RbTmAlTe3 crystal.

- total magnetic moment (μB per atom) = 0.00
- crystal system = orthorhombic

The structure in CIF format:
```
data_RbTmAlTe3
_cell_length_a 11.919
_cell_length_b 5.028
_cell_length_c 13.440
_cell_angle_alpha 90.00
_cell_angle_beta 90.00
_cell_angle_gamma 90.00
_symmetry_space_group_name_H-M 'P n m a'
_symmetry_Int_Tables_number 62
loop_
_symmetry_equiv_pos_as_xyz
'x,y,z'
'-x,-y,-z'
'-x+1/2,-y,z+1/2'
'x+1/2,y,-z+1/2'
'x+1/2,-y+1/2,-z+1/2'
'-x+1/2,y+1/2,z+1/2'
'-x,y+1/2,-z'
'x,-y+1/2,z'
loop_
_atom_site_label
_atom_site_type_symbol
_atom_site_fract_x
_atom_site_fract_y
_atom_site_fract_z
_atom_site_occupancy
Rb1 Rb 0.183 0.250 0.009 1
Tm1 Tm 0.021 0.250 0.320 1
Al1 Al 0.233 0.250 0.723 1
Te1 Te 0.048 0.750 0.175 1
Te2 Te 0.087 0.250 0.566 1
Te3 Te 0.213 0.750 0.801 1
```

Most stable one: run w, least stable one: run x.